## Ga3Sn3Br (GGA-PBE)

Data for a geometry-optimized Ga3Sn3Br structure. Values from VASP.

Formation energy (no corrections)   0.197 eV per atom
E_tot   -42.76 eV for the cell shown
Density   4.8 g/cm³
Crystal system   cubic
Space-group type   Pm-3n (223)

Cell and atoms, written as Quantum ESPRESSO input:
```
&SYSTEM
  ibrav = 0, nat = 14, ntyp = 3
/
ATOMIC_SPECIES
Ga 69.72 Ga.upf
Sn 118.71 Sn.upf
Br 79.90 Br.upf
CELL_PARAMETERS angstrom
-0.617 6.946 -3.163
-4.017 -2.993 -5.791
-6.489 1.193 3.885
ATOMIC_POSITIONS crystal
Ga 0.250 0.000 0.500
Ga 0.000 0.500 0.250
Ga 0.500 0.750 0.000
Ga 0.750 0.000 0.500
Ga 0.000 0.500 0.750
Ga 0.500 0.250 0.000
Sn 0.000 0.250 0.500
Sn 0.000 0.750 0.500
Sn 0.500 0.000 0.750
Sn 0.750 0.500 0.000
Sn 0.500 0.000 0.250
Sn 0.250 0.500 0.000
Br 0.500 0.500 0.500
Br 0.000 0.000 0.000
```

***

## Ga3SnBr (GGA-PBE)

Data for a geometry-optimized Ga3SnBr structure. Values from VASP.

Formation energy (no corrections)   0.451 eV per atom
E_tot   -12.50 eV for the cell shown
Density   4.2 g/cm³
Crystal system   cubic
Space-group type   Pm-3m (221)

Cell and atoms, written as Quantum ESPRESSO input:
```
&SYSTEM
  ibrav = 0, nat = 5, ntyp = 3
/
ATOMIC_SPECIES
Ga 69.72 Ga.upf
Sn 118.71 Sn.upf
Br 79.90 Br.upf
CELL_PARAMETERS angstrom
5.453 0.000 0.000
0.000 5.453 0.000
0.000 0.000 5.453
ATOMIC_POSITIONS crystal
Ga 0.000 0.500 0.000
Ga 0.000 0.000 0.500
Ga 0.500 0.000 0.000
Sn 0.500 0.500 0.500
Br 0.000 0.000 0.000
```

***

## GaSn2Br (GGA-PBE)

Data for a geometry-optimized GaSn2Br structure. Values from VASP.

Formation energy (no corrections)   0.145 eV per atom
E_tot   -24.25 eV for the cell shown
Density   4.4 g/cm³
Crystal system   tetragonal
Space-group type   I-42d (122)

Cell and atoms, written as Quantum ESPRESSO input:
```
&SYSTEM
  ibrav = 0, nat = 8, ntyp = 3
/
ATOMIC_SPECIES
Ga 69.72 Ga.upf
Sn 118.71 Sn.upf
Br 79.90 Br.upf
CELL_PARAMETERS angstrom
6.482 0.000 0.000
0.000 6.482 0.000
3.241 3.241 7.004
ATOMIC_POSITIONS crystal
Ga 0.500 0.500 0.000
Ga 0.250 0.750 0.500
Sn 0.578 0.125 0.250
Sn 0.172 0.625 0.250
Sn 0.375 0.422 0.750
Sn 0.875 0.828 0.750
Br 0.000 0.000 0.000
Br 0.750 0.250 0.500
```

***

## GaSnBr (GGA-PBE)

Data for a geometry-optimized GaSnBr structure. Values from VASP.

Formation energy (no corrections)   -0.346 eV per atom
E_tot   -38.96 eV for the cell shown
Density   4.8 g/cm³
Crystal system   orthorhombic
Space-group type   Ima2 (46)

Cell and atoms, written as Quantum ESPRESSO input:
```
&SYSTEM
  ibrav = 0, nat = 12, ntyp = 3
/
ATOMIC_SPECIES
Ga 69.72 Ga.upf
Sn 118.71 Sn.upf
Br 79.90 Br.upf
CELL_PARAMETERS angstrom
-6.149 2.997 -2.192
-1.184 -7.856 -7.419
-2.404 -2.621 3.159
ATOMIC_POSITIONS crystal
Ga 0.000 0.000 0.129
Ga 0.500 0.000 0.129
Ga 0.500 0.500 0.629
Ga 0.000 0.500 0.629
Sn 0.250 0.823 0.003
Sn 0.750 0.177 0.003
Sn 0.750 0.323 0.503
Sn 0.250 0.677 0.503
Br 0.250 0.098 0.482
Br 0.750 0.902 0.482
Br 0.750 0.598 0.982
Br 0.250 0.402 0.982
```

***

## GaSnBr (GGA-PBE)

Data for a geometry-optimized GaSnBr structure. Values from VASP.

Formation energy (no corrections)   -0.291 eV per atom
E_tot   -38.30 eV for the cell shown
Density   4.7 g/cm³
Crystal system   monoclinic
Space-group type   Cc (9)

Cell and atoms, written as Quantum ESPRESSO input:
```
&SYSTEM
  ibrav = 0, nat = 12, ntyp = 3
/
ATOMIC_SPECIES
Br 79.90 Br.upf
Sn 118.71 Sn.upf
Ga 69.72 Ga.upf
CELL_PARAMETERS angstrom
8.109 0.000 0.001
0.000 8.946 0.000
-7.910 0.000 5.235
ATOMIC_POSITIONS crystal
Br 0.841 0.622 0.359
Br 0.341 0.378 0.859
Br 0.841 0.122 0.859
Br 0.341 0.878 0.359
Sn 0.278 0.422 0.351
Sn 0.778 0.578 0.851
Sn 0.278 0.922 0.851
Sn 0.778 0.078 0.351
Ga 0.995 0.333 0.388
Ga 0.495 0.667 0.888
Ga 0.995 0.833 0.888
Ga 0.495 0.167 0.388
```

***

## Ga3SnBr12 (GGA-PBE)

Data for a geometry-optimized Ga3SnBr12 structure. Values from VASP.

Formation energy (no corrections)   -0.753 eV per atom
E_tot   -90.40 eV for the cell shown
Density   2.6 g/cm³
Crystal system   trigonal
Space-group type   R3c (161)

Cell and atoms, written as Quantum ESPRESSO input:
```
&SYSTEM
  ibrav = 0, nat = 32, ntyp = 3
/
ATOMIC_SPECIES
Ga 69.72 Ga.upf
Sn 118.71 Sn.upf
Br 79.90 Br.upf
CELL_PARAMETERS angstrom
-6.128 10.360 2.346
-7.806 4.522 -8.307
-14.069 -1.787 3.195
ATOMIC_POSITIONS crystal
Ga 0.709 0.315 0.991
Ga 0.209 0.484 0.491
Ga 0.815 0.209 0.491
Ga 0.315 0.984 0.991
Ga 0.984 0.709 0.991
Ga 0.484 0.815 0.491
Sn 0.009 0.009 0.972
Sn 0.509 0.509 0.472
Br 0.086 0.070 0.097
Br 0.224 0.274 0.581
Br 0.902 0.031 0.429
Br 0.913 0.269 0.847
Br 0.413 0.470 0.347
Br 0.402 0.138 0.929
Br 0.724 0.421 0.081
Br 0.031 0.638 0.429
Br 0.586 0.247 0.597
Br 0.921 0.224 0.581
Br 0.769 0.413 0.347
Br 0.247 0.570 0.597
Br 0.138 0.531 0.929
Br 0.747 0.086 0.097
Br 0.269 0.970 0.847
Br 0.421 0.774 0.081
Br 0.774 0.724 0.081
Br 0.531 0.402 0.929
Br 0.570 0.586 0.597
Br 0.970 0.913 0.847
Br 0.470 0.769 0.347
Br 0.070 0.747 0.097
Br 0.274 0.921 0.581
Br 0.638 0.902 0.429
```

***

## Ga2SnBr8 (GGA-PBE)

Data for a geometry-optimized Ga2SnBr8 structure. Values from VASP.

Formation energy (no corrections)   -0.820 eV per atom
E_tot   -64.92 eV for the cell shown
Density   3.3 g/cm³
Crystal system   monoclinic
Space-group type   C2/c (15)

Cell and atoms, written as Quantum ESPRESSO input:
```
&SYSTEM
  ibrav = 0, nat = 22, ntyp = 3
/
ATOMIC_SPECIES
Br 79.90 Br.upf
Sn 118.71 Sn.upf
Ga 69.72 Ga.upf
CELL_PARAMETERS angstrom
-6.967 -6.269 0.567
0.804 -7.169 8.353
-7.730 2.227 7.390
ATOMIC_POSITIONS crystal
Br 0.381 0.759 0.532
Br 0.128 0.979 0.246
Br 0.731 0.955 0.155
Br 0.228 0.197 0.465
Br 0.269 0.045 0.845
Br 0.891 0.303 0.035
Br 0.772 0.803 0.535
Br 0.159 0.455 0.655
Br 0.109 0.697 0.965
Br 0.672 0.741 0.968
Br 0.647 0.479 0.746
Br 0.353 0.521 0.254
Br 0.328 0.259 0.032
Br 0.841 0.545 0.345
Br 0.619 0.241 0.468
Br 0.872 0.021 0.754
Sn 0.004 0.750 0.250
Sn 0.996 0.250 0.750
Ga 0.840 0.851 0.955
Ga 0.354 0.351 0.455
Ga 0.646 0.649 0.545
Ga 0.160 0.149 0.045
```

***

## GaSnBr (GGA-PBE)

Data for a geometry-optimized GaSnBr structure. Values from VASP.

Formation energy (no corrections)   -0.327 eV per atom
E_tot   -38.73 eV for the cell shown
Density   4.9 g/cm³
Crystal system   orthorhombic
Space-group type   I2_12_12_1 (24)

Cell and atoms, written as Quantum ESPRESSO input:
```
&SYSTEM
  ibrav = 0, nat = 12, ntyp = 3
/
ATOMIC_SPECIES
Ga 69.72 Ga.upf
Sn 118.71 Sn.upf
Br 79.90 Br.upf
CELL_PARAMETERS angstrom
4.688 0.000 0.000
0.000 7.020 0.000
0.000 0.000 11.070
ATOMIC_POSITIONS crystal
Ga 0.368 0.000 0.250
Ga 0.132 0.000 0.750
Ga 0.632 0.500 0.250
Ga 0.868 0.500 0.750
Sn 0.000 0.250 0.573
Sn 0.000 0.750 0.927
Sn 0.500 0.250 0.427
Sn 0.500 0.750 0.073
Br 0.000 0.250 0.149
Br 0.000 0.750 0.351
Br 0.500 0.250 0.851
Br 0.500 0.750 0.649
```

***

## GaSnBr3 (GGA-PBE)

Data for a geometry-optimized GaSnBr3 structure. Values from VASP.

Formation energy (no corrections)   -0.663 eV per atom
E_tot   -30.73 eV for the cell shown
Density   3.8 g/cm³
Crystal system   monoclinic
Space-group type   P2_1/m (11)

Cell and atoms, written as Quantum ESPRESSO input:
```
&SYSTEM
  ibrav = 0, nat = 10, ntyp = 3
/
ATOMIC_SPECIES
Ga 69.72 Ga.upf
Sn 118.71 Sn.upf
Br 79.90 Br.upf
CELL_PARAMETERS angstrom
-3.468 -0.937 -2.472
4.702 -3.161 -5.398
-2.401 -8.693 6.663
ATOMIC_POSITIONS crystal
Ga 0.750 0.776 0.532
Ga 0.250 0.224 0.468
Sn 0.750 0.641 0.162
Sn 0.250 0.359 0.838
Br 0.250 0.541 0.318
Br 0.750 0.459 0.682
Br 0.250 0.998 0.661
Br 0.750 0.278 0.007
Br 0.750 0.002 0.339
Br 0.250 0.722 0.993
```

***

## Ga3SnBr (GGA-PBE)

Data for a geometry-optimized Ga3SnBr structure. Values from VASP.

Formation energy (no corrections)   0.235 eV per atom
E_tot   -13.58 eV for the cell shown
Density   4.0 g/cm³
Crystal system   cubic
Space-group type   Pm-3m (221)

Cell and atoms, written as Quantum ESPRESSO input:
```
&SYSTEM
  ibrav = 0, nat = 5, ntyp = 3
/
ATOMIC_SPECIES
Ga 69.72 Ga.upf
Sn 118.71 Sn.upf
Br 79.90 Br.upf
CELL_PARAMETERS angstrom
5.512 0.000 0.000
0.000 5.512 0.000
0.000 0.000 5.512
ATOMIC_POSITIONS crystal
Ga 0.000 0.500 0.000
Ga 0.000 0.000 0.500
Ga 0.500 0.000 0.000
Sn 0.000 0.000 0.000
Br 0.500 0.500 0.500
```

***

## GaSnBr2 (GGA-PBE)

Data for a geometry-optimized GaSnBr2 structure. Values from VASP.

Formation energy (no corrections)   -0.358 eV per atom
E_tot   -11.81 eV for the cell shown
Density   4.7 g/cm³
Crystal system   trigonal
Space-group type   R-3m (166)

Cell and atoms, written as Quantum ESPRESSO input:
```
&SYSTEM
  ibrav = 0, nat = 4, ntyp = 3
/
ATOMIC_SPECIES
Ga 69.72 Ga.upf
Sn 118.71 Sn.upf
Br 79.90 Br.upf
CELL_PARAMETERS angstrom
-0.874 -2.629 2.626
2.772 -2.027 1.668
1.358 5.206 8.438
ATOMIC_POSITIONS crystal
Ga 0.500 0.500 0.500
Sn 0.000 0.000 0.000
Br 0.097 0.097 0.708
Br 0.903 0.903 0.292
```

***

## GaSn4Br8 (GGA-PBE)

Data for a geometry-optimized GaSn4Br8 structure. Values from VASP.

Formation energy (no corrections)   -0.592 eV per atom
E_tot   -40.12 eV for the cell shown
Density   3.7 g/cm³
Crystal system   cubic
Space-group type   F-43m (216)

Cell and atoms, written as Quantum ESPRESSO input:
```
&SYSTEM
  ibrav = 0, nat = 13, ntyp = 3
/
ATOMIC_SPECIES
Ga 69.72 Ga.upf
Sn 118.71 Sn.upf
Br 79.90 Br.upf
CELL_PARAMETERS angstrom
-8.913 -0.275 -1.805
-2.888 -0.319 -8.622
-3.748 -7.621 -3.263
ATOMIC_POSITIONS crystal
Ga 0.750 0.750 0.750
Sn 0.884 0.372 0.372
Sn 0.372 0.884 0.372
Sn 0.372 0.372 0.884
Sn 0.372 0.372 0.372
Br 0.585 0.138 0.138
Br 0.138 0.585 0.138
Br 0.138 0.138 0.585
Br 0.138 0.138 0.138
Br 0.157 0.614 0.614
Br 0.614 0.157 0.614
Br 0.614 0.614 0.157
Br 0.614 0.614 0.614
```